[1]
The following is a DFT calculation (PBE) of Tc2MoW after structural relaxation.

Lattice parameters (Å, degrees): 4.8614 4.8614 4.8201 99.24 99.24 33.30
Closest atoms and distances in Å follow each position.
Sites, in units of the cell vectors:
1 Tc 0.0000 0.0000 0.0000  5 Tc 2.73-2.90, 4 Mo 2.75-2.82, 3 W 2.76-2.79
2 Tc 0.7385 0.7385 0.2516  5 Tc 2.73-2.90, 3 Mo 2.75-2.79, 4 W 2.76-2.81
3 Mo 0.4890 0.4890 0.4877  7 Tc 2.75-2.82, 3 W 2.78-2.91, 2 Mo 2.79
4 W 0.2495 0.2495 0.7615  7 Tc 2.76-2.81, 3 Mo 2.78-2.91, 2 W 2.79

The calculation puts the density of states at the Fermi level at 4.41 states/eV per cell. For the formation energy from the elements, the calculation gives 189 meV per atom. As for the total magnetization: 0.0 μB/cell. The distance to the lowest polymorph of the same formula comes out at 120.8 meV per atom.


[2]
The following is a DFT calculation (PBE) of CaSeS6 after structural relaxation.

Lattice parameters (Å, degrees): 5.4118 5.8557 7.1469 108.77 101.16 97.75
Closest atoms and distances in Å follow each position.
Sites, in units of the cell vectors:
1 Ca 0.0000 0.0000 0.0000  8 S 2.88-3.02
2 Se 0.5000 0.5000 0.0000  6 S 2.54-2.69
3 S 0.0340 0.3056 0.7330  1 S 2.02
4 S 0.2413 0.4944 0.2839  1 S 2.02
5 S 0.4752 0.0379 0.8651  1 S 2.09
6 S 0.5248 0.9621 0.1349  1 S 2.09
7 S 0.7587 0.5056 0.7161  1 S 2.02
8 S 0.9660 0.6944 0.2670  1 S 2.02

The total energy is -32.71 eV for the cell shown. As for the total magnetization: 0.0 μB/cell.


[3]
The following is a DFT calculation (PBE) of TiAl2Ru after structural relaxation.

Lattice parameters (Å, degrees): 9.8052 9.8052 9.8052 158.11 158.11 31.15
Closest atoms and distances in Å follow each position.
Sites, in units of the cell vectors:
1 Ti 0.0000 0.0000 0.0000  4 Ru 2.63, 4 Al 2.71
2 Ti 0.7500 0.2500 0.5000  4 Ru 2.63, 4 Al 2.71
3 Al 0.1277 0.6250 0.0027  4 Al 2.62-2.65, 2 Ru 2.70, 2 Ti 2.71
4 Al 0.3750 0.3777 0.5027  4 Al 2.62-2.65, 2 Ru 2.70, 2 Ti 2.71
5 Al 0.6223 0.1250 0.9973  4 Al 2.62-2.65, 2 Ru 2.70, 2 Ti 2.71
6 Al 0.8750 0.8723 0.4973  4 Al 2.62-2.65, 2 Ru 2.70, 2 Ti 2.71
7 Ru 0.2500 0.7500 0.5000  4 Ti 2.63, 4 Al 2.70
8 Ru 0.5000 0.5000 0.0000  4 Ti 2.63, 4 Al 2.70

The calculation puts the density of states at the Fermi level at 7.45 states/eV per cell. For the formation energy from the elements, the calculation gives -56 meV per atom. As for the total magnetization: 0.0 μB/cell.


[4]
The following is a DFT calculation (PBE) of Li3HoPd4 after structural relaxation.

Lattice parameters (Å, degrees): 4.2571 4.2571 6.8488 90.00 90.00 90.00
Closest atoms and distances in Å follow each position.
Sites, in units of the cell vectors:
1 Li 0.0000 0.0000 0.0000  8 Pd 2.64
2 Li 0.0000 0.0000 0.5000  8 Pd 2.83, 4 Ho 3.01
3 Li 0.5000 0.5000 0.0000  8 Pd 2.64
4 Ho 0.5000 0.5000 0.5000  8 Pd 2.83, 4 Li 3.01
5 Pd 0.0000 0.5000 0.2275  6 Li 2.64-2.83, 2 Ho 2.83
6 Pd 0.0000 0.5000 0.7725  6 Li 2.64-2.83, 2 Ho 2.83
7 Pd 0.5000 0.0000 0.2275  6 Li 2.64-2.83, 2 Ho 2.83
8 Pd 0.5000 0.0000 0.7725  6 Li 2.64-2.83, 2 Ho 2.83

The calculation puts the density of states at the Fermi level at 1.57 states/eV per cell. For the formation energy from the elements, the calculation gives -606 meV per atom. As for the total magnetization: 0.0 μB/cell.